Below is LaTb5Pm12 after structural relaxation, with properties calculated at the PBE-GGA level.

Cell lengths 10.5321, 10.5321, 6.0563 Å; angles 90.04, 90.04, 114.07 degrees
Closest atoms and distances in Å follow each position.
Fractional coordinates of all 18 atoms:
La (0.0000, 0.0000, 0.0000)  8 Pm 3.42-3.77
Tb (0.1719, 0.8281, 0.5000)  8 Pm 3.38-3.73
Tb (0.3267, 0.6733, 0.0000)  8 Pm 3.37-3.69
Tb (0.5000, 0.5000, 0.5000)  10 Pm 3.40-3.80
Tb (0.6733, 0.3267, 0.0000)  8 Pm 3.37-3.69
Tb (0.8281, 0.1719, 0.5000)  8 Pm 3.38-3.73
Pm (0.0137, 0.3463, 0.9421)  3 Tb 3.38-3.69, 4 Pm 3.44-3.48, 1 La 3.61
Pm (0.1586, 0.4883, 0.4438)  4 Tb 3.37-3.73, 4 Pm 3.44-3.52
Pm (0.1690, 0.1690, 0.5343)  2 La 3.42-3.77, 4 Pm 3.45-3.60, 3 Tb 3.61-3.80
Pm (0.3358, 0.3358, 0.0318)  4 Tb 3.40-3.73, 5 Pm 3.48-3.78
Pm (0.3463, 0.0137, 0.9421)  3 Tb 3.38-3.69, 4 Pm 3.44-3.48, 1 La 3.61
Pm (0.4883, 0.1586, 0.4438)  4 Tb 3.37-3.73, 4 Pm 3.44-3.52
Pm (0.5117, 0.8414, 0.5562)  4 Tb 3.37-3.73, 4 Pm 3.44-3.52
Pm (0.6537, 0.9863, 0.0579)  3 Tb 3.38-3.69, 4 Pm 3.44-3.48, 1 La 3.61
Pm (0.6642, 0.6642, 0.9682)  4 Tb 3.40-3.73, 5 Pm 3.48-3.78
Pm (0.8310, 0.8310, 0.4657)  2 La 3.42-3.77, 4 Pm 3.45-3.60, 3 Tb 3.61-3.80
Pm (0.8414, 0.5117, 0.5562)  4 Tb 3.37-3.73, 4 Pm 3.44-3.52
Pm (0.9863, 0.6537, 0.0579)  3 Tb 3.38-3.69, 4 Pm 3.44-3.48, 1 La 3.61

Below is La6Tb2Pm5 after structural relaxation, with properties calculated at the PBE-GGA level.

Cell lengths 11.9046, 21.2110, 3.6810 Å; angles 90.00, 90.00, 90.00 degrees
Closest atoms and distances in Å follow each position.
Fractional coordinates of all 26 atoms:
La (0.0630, 0.0804, 0.0000)  6 Pm 3.63-3.79, 5 La 3.68-3.83, 1 Tb 3.87
La (0.0829, 0.3680, 0.0000)  1 Tb 3.41, 6 Pm 3.49-3.59, 4 La 3.57-3.68
La (0.1741, 0.6376, 0.5000)  2 Pm 3.38-3.58, 4 La 3.57-3.68, 2 Tb 3.72
La (0.3259, 0.1376, 0.5000)  2 Pm 3.38-3.58, 4 La 3.57-3.68, 2 Tb 3.72
La (0.4171, 0.8680, 0.0000)  1 Tb 3.41, 6 Pm 3.49-3.59, 4 La 3.57-3.68
La (0.4370, 0.5804, 0.0000)  6 Pm 3.63-3.79, 5 La 3.68-3.83, 1 Tb 3.87
La (0.5630, 0.4196, 0.0000)  6 Pm 3.63-3.79, 5 La 3.68-3.83, 1 Tb 3.87
La (0.5829, 0.1320, 0.0000)  1 Tb 3.41, 6 Pm 3.49-3.59, 4 La 3.57-3.68
La (0.6741, 0.8624, 0.5000)  2 Pm 3.38-3.58, 4 La 3.57-3.68, 2 Tb 3.72
La (0.8259, 0.3624, 0.5000)  2 Pm 3.38-3.58, 4 La 3.57-3.68, 2 Tb 3.72
La (0.9171, 0.6320, 0.0000)  1 Tb 3.41, 6 Pm 3.49-3.59, 4 La 3.57-3.68
La (0.9370, 0.9196, 0.0000)  6 Pm 3.63-3.79, 5 La 3.68-3.83, 1 Tb 3.87
Tb (0.1663, 0.7899, 0.0000)  3 La 3.41-3.72, 6 Pm 3.59-3.76, 2 Tb 3.68
Tb (0.3337, 0.2899, 0.0000)  3 La 3.41-3.72, 6 Pm 3.59-3.76, 2 Tb 3.68
Tb (0.6663, 0.7101, 0.0000)  3 La 3.41-3.72, 6 Pm 3.59-3.76, 2 Tb 3.68
Tb (0.8337, 0.2101, 0.0000)  3 La 3.41-3.72, 6 Pm 3.59-3.76, 2 Tb 3.68
Pm (0.0000, 0.5000, 0.5000)  6 La 3.49-3.58, 4 Pm 3.68-3.80
Pm (0.0912, 0.2271, 0.5000)  5 La 3.38-3.63, 4 Tb 3.59-3.67, 2 Pm 3.68
Pm (0.1967, 0.9436, 0.5000)  6 La 3.59-3.79, 3 Pm 3.68-3.80, 2 Tb 3.76
Pm (0.3033, 0.4436, 0.5000)  6 La 3.59-3.79, 3 Pm 3.68-3.80, 2 Tb 3.76
Pm (0.4088, 0.7271, 0.5000)  5 La 3.38-3.63, 4 Tb 3.59-3.67, 2 Pm 3.68
Pm (0.5000, 0.0000, 0.5000)  6 La 3.49-3.58, 4 Pm 3.68-3.80
Pm (0.5912, 0.2729, 0.5000)  5 La 3.38-3.63, 4 Tb 3.59-3.67, 2 Pm 3.68
Pm (0.6967, 0.5564, 0.5000)  6 La 3.59-3.79, 3 Pm 3.68-3.80, 2 Tb 3.76
Pm (0.8033, 0.0564, 0.5000)  6 La 3.59-3.79, 3 Pm 3.68-3.80, 2 Tb 3.76
Pm (0.9088, 0.7729, 0.5000)  5 La 3.38-3.63, 4 Tb 3.59-3.67, 2 Pm 3.68

Below is La3Tb2Pm after structural relaxation, with properties calculated at the PBE-GGA level.

Cell lengths 6.3740, 6.3740, 12.1634 Å; angles 110.56, 110.56, 70.03 degrees
Closest atoms and distances in Å follow each position.
Fractional coordinates of all 12 atoms:
La (0.1249, 0.8751, 0.7500)  6 Tb 3.65-3.68, 2 Pm 3.65-3.66, 4 La 3.67
La (0.2082, 0.4582, 0.9160)  5 Tb 3.65-3.68, 3 Pm 3.67, 4 La 3.67-3.69
La (0.4582, 0.2082, 0.4160)  5 Tb 3.65-3.68, 3 Pm 3.67, 4 La 3.67-3.69
La (0.5418, 0.7918, 0.5840)  5 Tb 3.65-3.68, 3 Pm 3.67, 4 La 3.67-3.69
La (0.7918, 0.5418, 0.0840)  5 Tb 3.65-3.68, 3 Pm 3.67, 4 La 3.67-3.69
La (0.8751, 0.1249, 0.2500)  6 Tb 3.65-3.68, 2 Pm 3.65-3.66, 4 La 3.67
Tb (0.0418, 0.2910, 0.5825)  8 La 3.65-3.68, 2 Tb 3.67, 2 Pm 3.68
Tb (0.2910, 0.0418, 0.0825)  8 La 3.65-3.68, 2 Tb 3.67, 2 Pm 3.68
Tb (0.7090, 0.9582, 0.9175)  8 La 3.65-3.68, 2 Tb 3.67, 2 Pm 3.68
Tb (0.9582, 0.7090, 0.4175)  8 La 3.65-3.68, 2 Tb 3.67, 2 Pm 3.68
Pm (0.3747, 0.6253, 0.2500)  8 La 3.65-3.67, 4 Tb 3.68
Pm (0.6253, 0.3747, 0.7500)  8 La 3.65-3.67, 4 Tb 3.68

Computed properties:
distance to the lowest polymorph of the same formula: 0.0 meV per atom

Below is LaTb2Pm8 after structural relaxation, with properties calculated at the PBE-GGA level.

Cell lengths 10.3838, 10.3838, 5.6791 Å; angles 93.22, 93.22, 40.00 degrees
Closest atoms and distances in Å follow each position.
Fractional coordinates of all 11 atoms:
La (0.0000, 0.0000, 0.0000)  10 Pm 3.63-3.88
Tb (0.2846, 0.2846, 0.7464)  11 Pm 3.33-3.68
Tb (0.7154, 0.7154, 0.2536)  11 Pm 3.33-3.68
Pm (0.1350, 0.5983, 0.2688)  4 Pm 3.29-3.63, 3 Tb 3.51-3.68, 1 La 3.63
Pm (0.1885, 0.1885, 0.2321)  4 Tb 3.38-3.59, 4 Pm 3.54-3.63
Pm (0.4017, 0.8650, 0.7312)  4 Pm 3.29-3.63, 3 Tb 3.51-3.68, 1 La 3.63
Pm (0.4554, 0.4554, 0.7607)  1 Pm 3.14, 1 Tb 3.33
Pm (0.5446, 0.5446, 0.2393)  1 Pm 3.14, 1 Tb 3.33
Pm (0.5983, 0.1350, 0.2688)  4 Pm 3.29-3.63, 3 Tb 3.51-3.68, 1 La 3.63
Pm (0.8115, 0.8115, 0.7679)  4 Tb 3.38-3.59, 4 Pm 3.54-3.63
Pm (0.8650, 0.4017, 0.7312)  4 Pm 3.29-3.63, 3 Tb 3.51-3.68, 1 La 3.63

no.,DFT formation energy (meV per atom)
1,111
2,95
3,30
4,135